1.
LaY2Tl, PBEsol geometry, DFT meta-GGA SCAN; D(E_F) = 0.629 states/eV/atom; raw total energy = -43.004 eV per atom; E above lowest polymorph = 109 meV per atom; ΔE_f = -84 kJ/mol of formula units; size of the total moment = 3.512 μB/f.u.
1.0
0.000 3.812 3.812
3.812 0.000 3.812
3.812 3.812 0.000
La Y Tl
1 2 1
direct
0.000 0.000 0.000 La
0.250 0.250 0.250 Y
0.750 0.750 0.750 Y
0.500 0.500 0.500 Tl

---

2.
LiCa3Pt, PBEsol geometry, DFT meta-GGA SCAN; D(E_F) = 0.437 states/eV/atom; raw total energy = -20.826 eV per atom; ΔE_f = -247 kJ/mol of formula units; size of the total moment = 0.000 μB/f.u.
1.0
5.541 0.000 0.000
0.000 5.541 0.000
0.000 0.000 5.541
Li Ca Pt
1 3 1
direct
0.000 0.000 0.000 Li
0.000 0.500 0.500 Ca
0.500 0.000 0.500 Ca
0.500 0.500 0.000 Ca
0.500 0.500 0.500 Pt

---

3.
NiAu2F8, PBEsol geometry, DFT meta-GGA SCAN; raw total energy = -18.086 eV per atom; size of the total moment = 2.011 μB/f.u.
1.0
5.434 0.000 0.000
0.000 5.473 0.000
-3.516 0.000 10.076
Ni Au F
2 4 16
direct
0.000 0.000 0.000 Ni
0.000 0.500 0.500 Ni
0.367 0.216 0.332 Au
0.367 0.284 0.832 Au
0.633 0.716 0.168 Au
0.633 0.784 0.668 Au
0.062 0.112 0.184 F
0.062 0.388 0.684 F
0.159 0.211 0.452 F
0.159 0.289 0.952 F
0.323 0.685 0.521 F
0.323 0.815 0.021 F
0.429 0.713 0.285 F
0.429 0.787 0.785 F
0.571 0.213 0.215 F
0.571 0.287 0.715 F
0.677 0.185 0.979 F
0.677 0.315 0.479 F
0.841 0.711 0.048 F
0.841 0.789 0.548 F
0.938 0.612 0.316 F
0.938 0.888 0.816 F